Entry 1:
Entry from Alexandria via LeMat-Bulk: a relaxed RbYSeCl2O3 crystal (PBEsol).

Its raw formation energy is -46.50 kcal/mol of atoms.

Lattice parameters (Å, degrees): 6.5262 6.9817 8.7574 80.84 73.90 88.37
With the nearest neighbours (Å) after each atom.
Space group P-1 (No. 2)
Symmetry-distinct sites (fractional):
Rb: 0.2352 0.2222 0.3927 x2  1 O 2.94, 1 Cl 3.26
Y: 0.1385 0.7521 0.9770 x2  5 O 2.27-2.40
Se: 0.3756 0.2555 0.9126 x2  3 O 1.69-1.74
Cl: 0.1170 0.6806 0.2852 x2  1 Y 2.63
Cl: 0.2410 0.8290 0.6609 x2  1 Y 2.63
O: 0.1816 0.0734 0.9869 x2  1 Se 1.74
O: 0.1869 0.4310 0.9651 x2  1 Se 1.73
O: 0.4988 0.7618 0.9408 x2  1 Se 1.69

***

Entry 2:
Entry from Alexandria via LeMat-Bulk: a relaxed MnZn2In crystal (PBEsol).

The formation energy comes out at 187 meV/atom.

Lattice parameters (Å, degrees): 2.9157 3.8125 5.5813 90.00 90.00 90.00
With the nearest neighbours (Å) after each atom.
Space group Pmm2 (No. 25)
Symmetry-distinct sites (fractional):
Mn: 0.0000 0.0000 0.0000 x1  5 Zn 2.56-2.73, 4 In 2.79
Zn: 0.0000 0.0000 0.4588 x1  1 Mn 2.56, 4 Zn 2.71
Zn: 0.5000 0.5000 0.2314 x1  2 In 2.71-2.87, 6 Zn 2.71-2.92, 4 Mn 2.73
In: 0.5000 0.5000 0.7459 x1  6 Zn 2.71-2.89, 4 Mn 2.79, 2 In 2.92

***

Entry 3:
Entry from Alexandria via LeMat-Bulk: a relaxed CaMg4Pt crystal (PBEsol).

The formation energy comes out at -83 meV/atom.

Lattice parameters (Å, degrees): 7.9178 7.9178 7.9178 90.00 90.00 90.00
With the nearest neighbours (Å) after each atom.
Space group F-43m (No. 216)
Symmetry-distinct sites (fractional):
Ca: 0.0000 0.0000 0.0000 x4  12 Mg 3.29, 4 Pt 3.43
Mg: 0.1237 0.1237 0.3763 x16  6 Mg 2.77-2.83
Pt: 0.2500 0.2500 0.7500 x4  12 Mg 3.28, 4 Ca 3.43

***

Entry 4:
Entry from Alexandria via LeMat-Bulk: a relaxed LaTa2Mn crystal (PBEsol).

As for the offset from the most stable computed form: 105 meV/atom. The formation energy comes out at 400 meV/atom.

Lattice parameters (Å, degrees): 3.2285 4.8652 9.3139 90.00 90.00 90.00
With the nearest neighbours (Å) after each atom.
Space group Cmm2 (No. 35)
Symmetry-distinct sites (fractional):
La: 0.0000 0.0000 0.0000 x2  2 Mn 2.79, 4 La 2.92
Ta: 0.0000 0.0000 0.4422 x2  2 Mn 2.45
Ta: 0.0000 0.5000 0.6865 x2  6 Ta 2.79-2.92
Mn: 0.0000 0.5000 0.2443 x2  2 Ta 2.45

***

Entry 5:
Entry from Alexandria via LeMat-Bulk: a relaxed Na3Ca2BiO6 crystal (PBEsol).

Its raw formation energy is -45.23 kcal/mol of atoms.

Lattice parameters (Å, degrees): 6.7067 9.6142 19.9426 90.00 90.00 90.00
With the nearest neighbours (Å) after each atom.
Space group Fddd (No. 70, origin choice 2)
Symmetry-distinct sites (fractional):
Na: 0.1250 0.1250 0.1250 x8  6 O 2.41-2.66
Na: 0.1250 0.1250 0.2882 x16  6 O 2.42-2.51
Ca: 0.1250 0.1250 0.4556 x16  6 O 2.34-2.37
Bi: 0.1250 0.1250 0.6250 x8  6 O 2.15-2.16
O: 0.1000 0.3701 0.7975 x32  1 Bi 2.16, 2 Ca 2.36-2.37, 1 Na 2.41
O: 0.1250 0.3488 0.6250 x16  1 Bi 2.15, 2 Ca 2.34

***

Entry 6:
Entry from Alexandria via LeMat-Bulk: a relaxed FeAs2Cl crystal (PBEsol).

As for the offset from the most stable computed form: 279 meV/atom. Its raw formation energy is 10.67 kcal/mol of atoms.

Lattice parameters (Å, degrees): 2.9434 4.6154 4.8805 90.00 90.00 90.00
With the nearest neighbours (Å) after each atom.
Space group Pmmm (No. 47)
Symmetry-distinct sites (fractional):
Fe: 0.0000 0.0000 0.0000 x1  4 As 2.74, 4 Cl 2.85, 2 Fe 2.94
As: 0.0000 0.5000 0.5000 x1  4 Cl 2.74, 6 As 2.85-2.94
As: 0.5000 0.5000 0.0000 x1  4 Fe 2.74, 6 As 2.85-2.94
Cl: 0.5000 0.0000 0.5000 x1  4 As 2.74, 4 Fe 2.85, 2 Cl 2.94

***

Entry 7:
Entry from Alexandria via LeMat-Bulk: a relaxed Mo2PF crystal (PBEsol).

Its raw formation energy is -3.17 kcal/mol of atoms.

Lattice parameters (Å, degrees): 6.1385 6.1385 5.6438 90.00 90.00 90.00
With the nearest neighbours (Å) after each atom.
Space group I-42d (No. 122)
Symmetry-distinct sites (fractional):
Mo: 0.2231 0.2500 0.1250 x8  2 F 2.17, 2 P 2.40
P: 0.0000 0.0000 0.5000 x4  4 Mo 2.40
F: 0.0000 0.0000 0.0000 x4  4 Mo 2.17

***

Entry 8:
Entry from Alexandria via LeMat-Bulk: a relaxed InPb4 crystal (PBEsol).

As for the offset from the most stable computed form: 0 meV/atom. The formation energy comes out at 5 meV/atom.

Lattice parameters (Å, degrees): 7.7152 7.7152 4.8460 90.00 90.00 90.00
With the nearest neighbours (Å) after each atom.
Space group I4/m (No. 87)
Symmetry-distinct sites (fractional):
In: 0.0000 0.0000 0.0000 x2  12 Pb 3.42-3.46
Pb: 0.0996 0.2971 0.5000 x8  9 Pb 3.42-3.49, 3 In 3.42-3.46